A) First-principles (GGA-PBE) data for a relaxed Be2ZnTe crystal, as listed in the Alexandria database.

a b c (Å): 4.169 4.169 3.650
angles (deg): 90.00 90.00 90.00
Positions (direct):
Be 0.000 0.500 0.000
Be 0.500 0.000 0.000
Zn 0.000 0.000 0.500
Te 0.500 0.500 0.500

Summary:
The crystal system is tetragonal. Its space group is P4/mmm (123). As for the volume: 15.86 A^3/atom.

=====

B) First-principles (GGA-PBE) data for a relaxed Be2ZnTe crystal, as listed in the Alexandria database.

a b c (Å): 4.484 4.484 4.484
angles (deg): 60.00 60.00 60.00
Positions (direct):
Be 0.250 0.250 0.250
Be 0.750 0.750 0.750
Zn 0.000 0.000 0.000
Te 0.500 0.500 0.500

Summary:
The crystal system is cubic. Its space group is Fm-3m (225). As for the volume: 15.94 A^3/atom.

=====

Stability order, top to bottom: A), B)